A relaxed Sc2ReHOs crystal, computed with PBE-GGA.

Calculated values
DFT total energy   -7.255 eV per atom
Crystal system   tetragonal

Cell lengths 5.0510, 3.2537, 5.0510 Å; angles 90.00, 90.00, 90.00 degrees
With the nearest neighbours (Å) after each atom.
Element x y z (fractional)
Sc 0.0000 0.0000 0.5000  2 Re 2.53
Sc 0.5000 0.0000 0.0000  2 Re 2.53
Re 0.0000 0.0000 0.0000  2 H 1.63
Os 0.5000 0.5000 0.5000  8 Sc 3.00, 2 Os 3.25
H 0.0000 0.5000 0.0000  2 Re 1.63